Density functional theory data (PBE-GGA) for an optimized crystal structure of SmHoGaOs.

Calculated values
- Total moment: 0.000 μB/f.u.
- Crystal system: cubic
- Energy relative to the elements: -0.30 eV/atom
- Energy: -6.1923 eV per atom

Unit cell a=4.9701 b=4.9701 c=4.9701 alpha=60.00 beta=60.00 gamma=60.00
Last column: nearest neighbours and their distance in Å.
Positions (direct):
1 Ga 0.5000 0.5000 0.5000  4 Sm 3.04, 4 Ho 3.04
2 Os 0.0000 0.0000 0.0000  4 Sm 3.04, 4 Ho 3.04
3 Ho 0.2500 0.2500 0.2500  4 Ga 3.04, 4 Os 3.04
4 Sm 0.7500 0.7500 0.7500  4 Os 3.04, 4 Ga 3.04